# Na2Mg2TlPb2 | Alexandria via LeMat-Bulk | PBE-GGA | relaxed
# Calculated density: 6.08 g/cm³
# Total magnetic moment: 0.00 μB/atom
# Energy of formation: -0.767 eV per formula unit
data_Na2Mg2TlPb2
_cell_length_a 9.245
_cell_length_b 5.328
_cell_length_c 9.070
_cell_angle_alpha 90.00
_cell_angle_beta 119.32
_cell_angle_gamma 90.00
_space_group_name_H-M_alt 'C 1 2/m 1'
_space_group_IT_number 12
loop_
_space_group_symop_operation_xyz
'x,y,z'
'-x,-y,-z'
'-x,y,-z'
'x,-y,z'
'x+1/2,y+1/2,z'
'-x+1/2,-y+1/2,-z'
'-x+1/2,y+1/2,-z'
'x+1/2,-y+1/2,z'
loop_
_atom_site_label
_atom_site_fract_x
_atom_site_fract_y
_atom_site_fract_z
Na1 0.240 0.000 0.155
Mg1 0.179 0.500 0.389
Tl1 0.000 0.500 0.000
Pb1 0.025 0.000 0.702

# NaMgTl2Pb | Alexandria via LeMat-Bulk | PBE-GGA | relaxed
# Calculated density: 7.37 g/cm³
# Total magnetic moment: 0.00 μB/atom
# Energy of formation: 0.415 eV per formula unit
data_NaMgTl2Pb
_cell_length_a 6.201
_cell_length_b 15.623
_cell_length_c 6.171
_cell_angle_alpha 90.00
_cell_angle_beta 90.00
_cell_angle_gamma 90.00
_space_group_name_H-M_alt 'C m c m'
_space_group_IT_number 63
_space_group_name_Hall '-C 2c 2'
loop_
_atom_site_label
_atom_site_fract_x
_atom_site_fract_y
_atom_site_fract_z
Na1 0.000 0.154 0.250
Mg1 0.000 0.349 0.250
Tl1 0.249 0.500 0.000
Pb1 0.000 0.255 0.750

# NaMgTlPb | Alexandria via LeMat-Bulk | PBE-GGA | relaxed
# Calculated density: 7.17 g/cm³
# Total magnetic moment: 0.00 μB/atom
# Energy of formation: -0.499 eV per formula unit
data_NaMgTlPb
_cell_length_a 7.519
_cell_length_b 7.519
_cell_length_c 7.519
_cell_angle_alpha 90.00
_cell_angle_beta 90.00
_cell_angle_gamma 90.00
_space_group_name_H-M_alt 'F -4 3 m'
_space_group_IT_number 216
_space_group_name_Hall 'F -4 2 3'
loop_
_atom_site_label
_atom_site_fract_x
_atom_site_fract_y
_atom_site_fract_z
Na1 0.000 0.000 0.000
Mg1 0.000 0.000 0.500
Tl1 0.250 0.250 0.750
Pb1 0.250 0.250 0.250

# NaMgTlPb2 | Alexandria via LeMat-Bulk | PBE-GGA | relaxed
# Offset from the most stable computed form: 422 meV per atom
# Calculated density: 6.42 g/cm³
# Total magnetic moment: 0.00 μB/atom
# Energy of formation: 2.247 eV per formula unit
data_NaMgTlPb2
_cell_length_a 5.598
_cell_length_b 5.598
_cell_length_c 5.500
_cell_angle_alpha 90.00
_cell_angle_beta 90.00
_cell_angle_gamma 90.00
_space_group_name_H-M_alt 'P 4/m m m'
_space_group_IT_number 123
_space_group_name_Hall '-P 4 2'
loop_
_atom_site_label
_atom_site_fract_x
_atom_site_fract_y
_atom_site_fract_z
Na1 0.000 0.000 0.000
Mg1 0.500 0.500 0.500
Tl1 0.000 0.000 0.500
Pb1 0.000 0.500 0.000